No. 1
Computed, not measured: a relaxed Co2SbOs crystal at the PBE level of DFT.

Cell lengths 4.518, 4.518, 2.862 Å; angles 90.00, 90.00, 107.38 degrees
Positions (direct):
Co: 0.000 0.500 0.000
Co: 0.500 0.000 0.000
Sb: 0.000 0.000 0.500
Os: 0.500 0.500 0.500

offset from the most stable computed form = 80 meV per atom
E_form (uncorrected) = 0.37 eV per atom

No. 2
Computed, not measured: a relaxed DyAg3 crystal at the PBE level of DFT.

Cell lengths 4.896, 4.896, 4.896 Å; angles 60.00, 60.00, 60.00 degrees
Positions (direct):
Dy: 0.000 0.000 0.000
Ag: 0.250 0.250 0.250
Ag: 0.500 0.500 0.500
Ag: 0.750 0.750 0.750

energy relative to the elements = -206 meV/atom

No. 3
Computed, not measured: a relaxed Hf3NiPt crystal at the PBE level of DFT.

Cell lengths 7.187, 7.187, 7.858 Å; angles 91.03, 91.03, 27.46 degrees
Positions (direct):
Hf: 0.047 0.047 0.213
Hf: 0.239 0.239 0.815
Hf: 0.401 0.401 0.441
Hf: 0.599 0.599 0.559
Hf: 0.761 0.761 0.185
Hf: 0.953 0.953 0.787
Ni: 0.206 0.206 0.414
Ni: 0.794 0.794 0.586
Pt: 0.398 0.398 0.052
Pt: 0.602 0.602 0.948

offset from the most stable computed form = 0 meV per atom
energy relative to the elements = -599 meV/atom

So what do the calculations give for electronic total energy? Going down the list: -7.0247; -3.4953; -8.9351 eV per atom.